No. 1
# RbNbTeBr, optimized geometry, DFT PBE
data_RbNbTeBr
_symmetry_space_group_name_H-M 'P m m m'
_symmetry_Int_Tables_number 47
_cell_length_a 4.9882
_cell_length_b 5.4723
_cell_length_c 5.5916
_cell_angle_alpha 90.00
_cell_angle_beta 90.00
_cell_angle_gamma 90.00
loop_
_symmetry_equiv_pos_as_xyz
'x,y,z'
'-x,-y,-z'
'-x,-y,z'
'x,y,-z'
'x,-y,-z'
'-x,y,z'
'-x,y,-z'
'x,-y,z'
loop_
_atom_site_label
_atom_site_fract_x
_atom_site_fract_y
_atom_site_fract_z
Rb1 0.0000 0.0000 0.0000
Nb1 0.5000 0.5000 0.5000
Te1 0.5000 0.0000 0.5000
Br1 0.5000 0.5000 0.0000
# Calculated density   4.198 g cm⁻³
# Total energy   -4.2580 eV per atom
# ΔE to the lowest computed polymorph   0.215 eV/atom
# Formation energy without anion corrections   -0.295 eV per atom
# Total magnetization   3.0 μB/f.u.
# Fermi-level density of states   0.3771 states/eV per atom

=====

No. 2
# Sm2CdCu2Pd5, optimized geometry, DFT PBE
data_Sm2CdCu2Pd5
_symmetry_space_group_name_H-M 'P 4/m b m'
_symmetry_Int_Tables_number 127
_symmetry_space_group_name_Hall '-P 4 2ab'
_cell_length_a 9.5195
_cell_length_b 9.5195
_cell_length_c 3.9709
_cell_angle_alpha 90.00
_cell_angle_beta 90.00
_cell_angle_gamma 90.00
loop_
_atom_site_label
_atom_site_fract_x
_atom_site_fract_y
_atom_site_fract_z
Sm1 0.1771 0.3229 0.0000
Cd1 0.0000 0.0000 0.0000
Cu1 0.1192 0.6192 0.0000
Pd1 0.0000 0.5000 0.5000
Pd2 0.0701 0.7916 0.5000
# Calculated density   9.897 g cm⁻³
# Total energy   -5.0591 eV per atom
# Total magnetization   0.0 μB/f.u.
# Fermi-level density of states   0.3351 states/eV per atom

=====

No. 3
# In2PAu, optimized geometry, DFT PBE
data_In2PAu
_symmetry_space_group_name_H-M 'P 1'
_symmetry_Int_Tables_number 1
_cell_length_a 3.9364
_cell_length_b 6.6156
_cell_length_c 8.0565
_cell_angle_alpha 113.84
_cell_angle_beta 90.15
_cell_angle_gamma 106.94
loop_
_symmetry_equiv_pos_as_xyz
'x,y,z'
loop_
_atom_site_label
_atom_site_fract_x
_atom_site_fract_y
_atom_site_fract_z
In1 0.0000 0.0000 0.0000
In2 0.0481 0.0923 0.5050
In3 0.2740 0.5413 0.0696
In4 0.7538 0.5094 0.3786
P1 0.3018 0.6037 0.6405
P2 0.5166 0.0310 0.2450
Au1 0.5153 0.0291 0.7426
Au2 0.7533 0.5025 0.8042
# Calculated density   8.358 g cm⁻³
# Total energy   -3.5747 eV per atom
# Total magnetization   0.0 μB/f.u.
# Fermi-level density of states   0.3277 states/eV per atom

=====

No. 4
# YTmSc2P4, optimized geometry, DFT PBE
data_YTmSc2P4
_symmetry_space_group_name_H-M 'P 1 2/m 1'
_symmetry_Int_Tables_number 10
_cell_length_a 6.6943
_cell_length_b 3.8744
_cell_length_c 6.7076
_cell_angle_alpha 90.00
_cell_angle_beta 109.52
_cell_angle_gamma 90.00
loop_
_symmetry_equiv_pos_as_xyz
'x,y,z'
'-x,-y,-z'
'-x,y,-z'
'x,-y,z'
loop_
_atom_site_label
_atom_site_fract_x
_atom_site_fract_y
_atom_site_fract_z
Y1 0.0000 0.0000 0.0000
Tm1 0.0000 0.5000 0.5000
Sc1 0.5000 0.0000 0.5000
Sc2 0.5000 0.5000 0.0000
P1 0.2630 0.0000 0.7523
P2 0.2644 0.5000 0.2569
# Calculated density   4.776 g cm⁻³
# Total energy   -7.1949 eV per atom
# Total magnetization   0.0 μB/f.u.
# Fermi-level density of states   0.1266 states/eV per atom

=====

No. 5
# NbPtS2, optimized geometry, DFT PBE
data_NbPtS2
_symmetry_space_group_name_H-M 'F m -3 m'
_symmetry_Int_Tables_number 225
_symmetry_space_group_name_Hall '-F 4 2 3'
_cell_length_a 6.2505
_cell_length_b 6.2505
_cell_length_c 6.2505
_cell_angle_alpha 90.00
_cell_angle_beta 90.00
_cell_angle_gamma 90.00
loop_
_atom_site_label
_atom_site_fract_x
_atom_site_fract_y
_atom_site_fract_z
Nb1 0.0000 0.0000 0.0000
Pt1 0.0000 0.0000 0.5000
S1 0.2500 0.2500 0.2500
# Calculated density   9.578 g cm⁻³
# Total energy   -6.2393 eV per atom
# Formation energy without anion corrections   -0.148 eV per atom
# Total magnetization   0.0 μB/f.u.
# Fermi-level density of states   1.0748 states/eV per atom

=====

No. 6
# CeDySiAg, optimized geometry, DFT PBE
data_CeDySiAg
_symmetry_space_group_name_H-M 'F -4 3 m'
_symmetry_Int_Tables_number 216
_symmetry_space_group_name_Hall 'F -4 2 3'
_cell_length_a 7.2340
_cell_length_b 7.2340
_cell_length_c 7.2340
_cell_angle_alpha 90.00
_cell_angle_beta 90.00
_cell_angle_gamma 90.00
loop_
_atom_site_label
_atom_site_fract_x
_atom_site_fract_y
_atom_site_fract_z
Ce1 0.0000 0.0000 0.0000
Dy1 0.0000 0.0000 0.5000
Si1 0.2500 0.2500 0.7500
Ag1 0.2500 0.2500 0.2500
# Calculated density   7.695 g cm⁻³
# Total energy   -5.0517 eV per atom
# Formation energy without anion corrections   -0.349 eV per atom
# Total magnetization   1.5 μB/f.u.
# Fermi-level density of states   2.4096 states/eV per atom

=====

No. 7
# Sr2TlAu, optimized geometry, DFT PBE
data_Sr2TlAu
_symmetry_space_group_name_H-M 'F m -3 m'
_symmetry_Int_Tables_number 225
_symmetry_space_group_name_Hall '-F 4 2 3'
_cell_length_a 7.9306
_cell_length_b 7.9306
_cell_length_c 7.9306
_cell_angle_alpha 90.00
_cell_angle_beta 90.00
_cell_angle_gamma 90.00
loop_
_atom_site_label
_atom_site_fract_x
_atom_site_fract_y
_atom_site_fract_z
Sr1 0.2500 0.2500 0.2500
Tl1 0.0000 0.0000 0.0000
Au1 0.0000 0.0000 0.5000
# Calculated density   7.678 g cm⁻³
# Total energy   -2.7735 eV per atom
# ΔE to the lowest computed polymorph   0.043 eV/atom
# Total magnetization   0.0 μB/f.u.
# Fermi-level density of states   0.5875 states/eV per atom

=====

No. 8
# NbV4Mo5, optimized geometry, DFT PBE
data_NbV4Mo5
_symmetry_space_group_name_H-M 'P 4/m m m'
_symmetry_Int_Tables_number 123
_symmetry_space_group_name_Hall '-P 4 2'
_cell_length_a 3.1092
_cell_length_b 3.1092
_cell_length_c 15.5294
_cell_angle_alpha 90.00
_cell_angle_beta 90.00
_cell_angle_gamma 90.00
loop_
_atom_site_label
_atom_site_fract_x
_atom_site_fract_y
_atom_site_fract_z
Nb1 0.0000 0.0000 0.0000
V1 0.0000 0.0000 0.2051
V2 0.0000 0.0000 0.4019
Mo1 0.5000 0.5000 0.1077
Mo2 0.5000 0.5000 0.3040
Mo3 0.5000 0.5000 0.5000
# Calculated density   8.588 g cm⁻³
# Total energy   -10.1831 eV per atom
# Total magnetization   0.0 μB/f.u.
# Fermi-level density of states   0.9798 states/eV per atom

=====

No. 9
# HoCu2Au8, optimized geometry, DFT PBE
data_HoCu2Au8
_symmetry_space_group_name_H-M 'C 1 2/m 1'
_symmetry_Int_Tables_number 12
_cell_length_a 7.8870
_cell_length_b 12.3016
_cell_length_c 4.6871
_cell_angle_alpha 90.00
_cell_angle_beta 114.91
_cell_angle_gamma 90.00
loop_
_symmetry_equiv_pos_as_xyz
'x,y,z'
'-x,-y,-z'
'-x,y,-z'
'x,-y,z'
'x+1/2,y+1/2,z'
'-x+1/2,-y+1/2,-z'
'-x+1/2,y+1/2,-z'
'x+1/2,-y+1/2,z'
loop_
_atom_site_label
_atom_site_fract_x
_atom_site_fract_y
_atom_site_fract_z
Ho1 0.0000 0.0000 0.0000
Cu1 0.0000 0.3169 0.5000
Au1 0.0000 0.2328 0.0000
Au2 0.1032 0.5000 0.8238
Au3 0.1991 0.1248 0.6150
# Calculated density   15.039 g cm⁻³
# Total energy   -3.7333 eV per atom
# Total magnetization   0.0 μB/f.u.
# Fermi-level density of states   0.2632 states/eV per atom

=====

No. 10
# La2Nd2Zn, optimized geometry, DFT PBE
data_La2Nd2Zn
_symmetry_space_group_name_H-M 'I 4/m m m'
_symmetry_Int_Tables_number 139
_symmetry_space_group_name_Hall '-I 4 2'
_cell_length_a 3.7502
_cell_length_b 3.7502
_cell_length_c 23.0487
_cell_angle_alpha 90.00
_cell_angle_beta 90.00
_cell_angle_gamma 90.00
loop_
_atom_site_label
_atom_site_fract_x
_atom_site_fract_y
_atom_site_fract_z
La1 0.0000 0.0000 0.0806
Nd1 0.0000 0.0000 0.3038
Zn1 0.0000 0.0000 0.5000
# Calculated density   6.472 g cm⁻³
# Total energy   -4.2496 eV per atom
# ΔE to the lowest computed polymorph   0.000 eV/atom
# Total magnetization   0.0 μB/f.u.
# Fermi-level density of states   1.1326 states/eV per atom

=====

No. 11
# PmReSi2, optimized geometry, DFT PBE
data_PmReSi2
_symmetry_space_group_name_H-M 'P n m a'
_symmetry_Int_Tables_number 62
_cell_length_a 7.2873
_cell_length_b 4.0275
_cell_length_c 10.0903
_cell_angle_alpha 90.00
_cell_angle_beta 90.00
_cell_angle_gamma 90.00
loop_
_symmetry_equiv_pos_as_xyz
'x,y,z'
'-x,-y,-z'
'-x+1/2,-y,z+1/2'
'x+1/2,y,-z+1/2'
'x+1/2,-y+1/2,-z+1/2'
'-x+1/2,y+1/2,z+1/2'
'-x,y+1/2,-z'
'x,-y+1/2,z'
loop_
_atom_site_label
_atom_site_fract_x
_atom_site_fract_y
_atom_site_fract_z
Pm1 0.1435 0.2500 0.1277
Re1 0.0144 0.7500 0.3956
Si1 0.1588 0.2500 0.8103
Si2 0.2091 0.2500 0.4263
# Calculated density   8.688 g cm⁻³
# Total energy   -7.5772 eV per atom
# ΔE to the lowest computed polymorph   0.000 eV/atom
# Formation energy without anion corrections   -0.566 eV per atom
# Total magnetization   0.0 μB/f.u.
# Fermi-level density of states   0.5442 states/eV per atom

=====

No. 12
# Pr3Nd3Y8, optimized geometry, DFT PBE
data_Pr3Nd3Y8
_symmetry_space_group_name_H-M 'C 1 2/m 1'
_symmetry_Int_Tables_number 12
_cell_length_a 12.2585
_cell_length_b 15.4559
_cell_length_c 5.7635
_cell_angle_alpha 90.00
_cell_angle_beta 117.98
_cell_angle_gamma 90.00
loop_
_symmetry_equiv_pos_as_xyz
'x,y,z'
'-x,-y,-z'
'-x,y,-z'
'x,-y,z'
'x+1/2,y+1/2,z'
'-x+1/2,-y+1/2,-z'
'-x+1/2,y+1/2,-z'
'x+1/2,-y+1/2,z'
loop_
_atom_site_label
_atom_site_fract_x
_atom_site_fract_y
_atom_site_fract_z
Pr1 0.0000 0.0000 0.0000
Pr2 0.0000 0.1869 0.5000
Nd1 0.0000 0.5000 0.0000
Nd2 0.1961 0.0000 0.6971
Y1 0.1614 0.2806 0.1611
Y2 0.1606 0.3978 0.6603
# Calculated density   5.395 g cm⁻³
# Total energy   -5.6317 eV per atom
# ΔE to the lowest computed polymorph   0.000 eV/atom
# Total magnetization   0.0 μB/f.u.
# Fermi-level density of states   1.6599 states/eV per atom